Computed, not measured: a geometry-optimized Li5Si structure at the GGA-PBEsol level of DFT.

## Properties
**V**: 16.1 A^3/atom
**Space group**: Cm
**Energy relative to the lowest polymorph listed for this composition**: 37 meV per atom
**Electronic total energy**: -0.200 Ry/atom
**Density of states at the Fermi level**: 1.34 states/eV per cell
**Spin magnetization**: 0.00 μB per formula unit
**E_form (uncorrected)**: -0.72 eV per formula unit

Cell: 5.375 5.375 7.025 Å, 109.17 109.17 30.38°
Fractional coordinates of all 6 atoms:
Li (0.000, 0.000, 0.000)
Li (0.030, 0.030, 0.624)
Li (0.296, 0.296, 0.716)
Li (0.377, 0.377, 0.238)
Li (0.679, 0.679, 0.334)
Si (0.700, 0.700, 0.953)